[1]
PBE Tb2Pr6Sm3Sc, optimized geometry; total magnetization = 0.000 μB per atom; raw total energy = -58.1 eV/f.u.; mass density = 6.8 g cm⁻³; energy of formation = 0.025 eV/atom; Fermi-level density of states = 15.0 states/eV/f.u.; space group = C2/m (12)
1.0
-6.168 -1.081 -0.814
2.642 -0.886 5.666
-1.152 11.806 1.212
Tb Pr Sm Sc
2 6 3 1
direct
0.333 0.667 0.000
0.667 0.333 0.000
0.918 0.589 0.755
0.751 0.751 0.246
0.082 0.411 0.245
0.589 0.918 0.755
0.249 0.249 0.754
0.411 0.082 0.245
0.167 0.833 0.500
0.833 0.167 0.500
0.500 0.500 0.500
0.000 0.000 0.000

***

[2]
PBE K2ZnPt, optimized geometry; total magnetization = 0.000 μB per atom; raw total energy = -8.0 eV/f.u.; mass density = 5.5 g cm⁻³; energy of formation = 0.367 eV/atom; Fermi-level density of states = 1.0 states/eV/f.u.; space group = R-3m (166)
1.0
-9.048 -6.694 1.585
-6.845 -9.019 1.003
-7.199 -7.828 4.012
K Pt Zn
2 1 1
direct
0.993 0.993 0.993
0.507 0.507 0.507
0.250 0.250 0.250
0.750 0.750 0.750

***

[3]
PBE BaNiP, optimized geometry; total magnetization = 0.000 μB per atom; raw total energy = -13.6 eV/f.u.; mass density = 6.0 g cm⁻³; energy of formation = -0.177 eV/atom; Fermi-level density of states = 2.7 states/eV/f.u.; space group = I4mm (107)
1.0
5.447 -2.481 1.511
3.440 -0.220 5.121
-5.527 -0.638 -2.673
Ba Ni P
1 1 1
direct
0.001 0.001 0.000
0.275 0.275 0.000
0.724 0.724 0.000

***

[4]
PBE Sr4CeTl5, optimized geometry; total magnetization = 0.131 μB per atom; raw total energy = -28.2 eV/f.u.; mass density = 7.5 g cm⁻³; energy of formation = -0.374 eV/atom; Fermi-level density of states = 13.9 states/eV/f.u.; space group = P4/mmm (123)
1.0
4.049 0.000 0.000
0.000 4.049 0.000
0.000 0.000 20.459
Sr Ce Tl
4 1 5
direct
0.000 0.000 0.196
0.000 0.000 0.398
0.000 0.000 0.602
0.000 0.000 0.804
0.000 0.000 0.000
0.500 0.500 0.092
0.500 0.500 0.298
0.500 0.500 0.500
0.500 0.500 0.702
0.500 0.500 0.908

***

[5]
PBE LiGa8Pd2, optimized geometry; excess energy over the best structure of this formula in the dataset = 11 meV/atom; total magnetization = 0.000 μB per atom; raw total energy = -39.1 eV/f.u.; mass density = 6.4 g cm⁻³; energy of formation = -0.233 eV/atom; Fermi-level density of states = 3.6 states/eV/f.u.; space group = C2/m (12)
1.0
-0.503 -2.795 -3.921
3.940 -4.332 3.004
-5.995 -1.502 2.262
Li Ga Pd
1 8 2
direct
0.500 0.000 0.000
0.818 0.909 0.654
0.818 0.654 0.909
0.285 0.642 0.642
0.500 0.734 0.266
0.500 0.266 0.734
0.715 0.358 0.358
0.182 0.346 0.091
0.182 0.091 0.346
0.000 0.303 0.697
0.000 0.697 0.303

***

[6]
PBE Sc2AsBr, optimized geometry; total magnetization = 0.321 μB per atom; raw total energy = -23.2 eV/f.u.; mass density = 4.6 g cm⁻³; Fermi-level density of states = 2.9 states/eV/f.u.; space group = Imm2 (44)
1.0
-2.549 -5.813 2.923
-0.852 -6.668 -1.914
4.064 5.671 0.412
As Br Sc
1 1 2
direct
0.458 0.458 0.000
0.706 0.206 0.500
0.027 0.027 0.000
0.308 0.808 0.500

***

- What is the formula in the third record?
  BaNiP